No. 1
This record from Alexandria via LeMat-Bulk describes crystalline InCoSb at its relaxed geometry. The functional is PBE-GGA.

total DFT energy (no corrections): -4.5313 eV/atom
DOS(E_F): 0.5797 states/eV/atom
crystal system: tetragonal

Geometry as CIF:
```
data_InCoSb
_chemical_formula_sum 'In2 Co2 Sb2'
_cell_length_a 3.113
_cell_length_b 3.113
_cell_length_c 12.603
_cell_angle_alpha 90.00
_cell_angle_beta 90.00
_cell_angle_gamma 90.00
_symmetry_space_group_name_H-M 'P 1'
_symmetry_Int_Tables_number 1
loop_
_symmetry_equiv_pos_as_xyz
'x,y,z'
loop_
_atom_site_label
_atom_site_fract_x
_atom_site_fract_y
_atom_site_fract_z
In1 0.000 0.000 0.000
In2 0.500 0.500 0.500
Co1 0.000 0.000 0.360
Co2 0.500 0.500 0.860
Sb1 0.000 0.000 0.740
Sb2 0.500 0.500 0.240
```

---

No. 2
This record from Alexandria via LeMat-Bulk describes crystalline In4CoSb at its relaxed geometry. The functional is PBE-GGA.

total DFT energy (no corrections): -3.0829 eV/atom
DOS(E_F): 0.9963 states/eV/atom
crystal system: cubic

Geometry as CIF:
```
data_In4CoSb
_chemical_formula_sum 'In4 Co1 Sb1'
_cell_length_a 6.018
_cell_length_b 6.018
_cell_length_c 6.018
_cell_angle_alpha 60.00
_cell_angle_beta 60.00
_cell_angle_gamma 60.00
_symmetry_space_group_name_H-M 'P 1'
_symmetry_Int_Tables_number 1
loop_
_symmetry_equiv_pos_as_xyz
'x,y,z'
loop_
_atom_site_label
_atom_site_fract_x
_atom_site_fract_y
_atom_site_fract_z
In1 0.125 0.125 0.125
In2 0.125 0.125 0.624
In3 0.125 0.624 0.125
In4 0.624 0.125 0.125
Co1 0.500 0.500 0.500
Sb1 0.750 0.750 0.750
```

---

No. 3
This record from Alexandria via LeMat-Bulk describes crystalline InCoSb at its relaxed geometry. The functional is PBE-GGA.

total DFT energy (no corrections): -4.5343 eV/atom
DOS(E_F): 0.7967 states/eV/atom
crystal system: trigonal

Geometry as CIF:
```
data_InCoSb
_chemical_formula_sum 'In1 Co1 Sb1'
_cell_length_a 3.400
_cell_length_b 3.400
_cell_length_c 6.130
_cell_angle_alpha 90.00
_cell_angle_beta 90.00
_cell_angle_gamma 120.00
_symmetry_space_group_name_H-M 'P 1'
_symmetry_Int_Tables_number 1
loop_
_symmetry_equiv_pos_as_xyz
'x,y,z'
loop_
_atom_site_label
_atom_site_fract_x
_atom_site_fract_y
_atom_site_fract_z
In1 0.000 0.000 0.000
Co1 0.333 0.667 0.700
Sb1 0.667 0.333 0.444
```